(1)
DFT (PBE) results for crystalline Th6SnIr4 at its relaxed geometry.

Output
V   304.7 Å³/f.u.
ΔH_f (0 K)   -9.12 eV/f.u.
VASP energy   -0.31099 hartree per atom

abc: 4.2099 7.1854 21.0679
angles: 90.00 90.00 107.03
With the nearest neighbours (Å) after each atom.
Fractional positions:
Th: 0.7666 0.5333 0.0835  5 Ir 2.89-2.99
Th: 0.0354 0.0709 0.1583  3 Ir 2.79-2.89
Th: 0.7666 0.5333 0.4165  5 Ir 2.89-2.99
Th: 0.3404 0.6808 0.2500  2 Ir 2.78
Th: 0.2334 0.4667 0.9165  5 Ir 2.89-2.99
Th: 0.2334 0.4667 0.5835  5 Ir 2.89-2.99
Th: 0.5000 0.0000 0.5000  6 Ir 2.95-2.96
Th: 0.9646 0.9291 0.8417  3 Ir 2.79-2.89
Th: 0.0354 0.0709 0.3417  3 Ir 2.79-2.89
Th: 0.5000 0.0000 0.0000  6 Ir 2.95-2.96
Th: 0.9646 0.9291 0.6583  3 Ir 2.79-2.89
Th: 0.6596 0.3192 0.7500  2 Ir 2.78
Ir: 0.1361 0.2723 0.4565  6 Th 2.79-2.99
Ir: 0.5993 0.1986 0.6240  6 Th 2.78-2.95
Ir: 0.4007 0.8014 0.3760  6 Th 2.78-2.95
Ir: 0.8639 0.7277 0.5435  6 Th 2.79-2.99
Ir: 0.4007 0.8014 0.1240  6 Th 2.78-2.95
Ir: 0.5993 0.1986 0.8760  6 Th 2.78-2.95
Ir: 0.8639 0.7277 0.9565  6 Th 2.79-2.99
Ir: 0.1361 0.2723 0.0435  6 Th 2.79-2.99
Sn: 0.3396 0.6792 0.7500  6 Th 3.25-3.33
Sn: 0.6604 0.3208 0.2500  6 Th 3.25-3.33

=====

(2)
DFT (PBE) results for crystalline SrMg4Sn at its relaxed geometry.

Output
V   164.6 Å³/f.u.
ΔH_f (0 K)   -0.47 eV/f.u.
VASP energy   -0.07679 hartree per atom

abc: 6.1521 6.1521 6.1521
angles: 60.00 60.00 60.00
With the nearest neighbours (Å) after each atom.
Fractional positions:
Sn: 0.0000 0.0000 0.0000  12 Mg 3.60, 4 Sr 3.77
Mg: 0.6259 0.1224 0.6259  6 Mg 3.05-3.10
Mg: 0.1224 0.6259 0.6259  6 Mg 3.05-3.10
Mg: 0.6259 0.6259 0.6259  6 Mg 3.05-3.10
Mg: 0.6259 0.6259 0.1224  6 Mg 3.05-3.10
Sr: 0.2500 0.2500 0.2500  12 Mg 3.61, 4 Sn 3.77

=====

Look up the V of the second one.
164.6 Å³/f.u.